Record 1
PaIn3 | PBEsol | optimized geometry

**Spin magnetization**: 0.0 μB/cell
**ΔE_f**: -0.16 eV/atom
**DOS(E_F)**: 5.073 states/eV/cell

Cell: 4.5629 4.5629 4.5629 Å, 90.00 90.00 90.00°
Last column: nearest neighbours and their distance in Å.
Fractional positions:
1 Pa 0.0000 0.0000 0.0000  12 In 3.23
2 In 0.0000 0.5000 0.5000  8 In 3.23, 4 Pa 3.23
3 In 0.5000 0.0000 0.5000  8 In 3.23, 4 Pa 3.23
4 In 0.5000 0.5000 0.0000  8 In 3.23, 4 Pa 3.23

Record 2
MgTi5 | PBEsol | optimized geometry

**Spin magnetization**: 0.0 μB/cell
**ΔE_f**: 0.07 eV/atom
**DOS(E_F)**: 5.524 states/eV/cell
**Relative energy among the computed polymorphs**: 0 meV/atom

Cell: 2.9212 2.9212 14.1571 Å, 90.00 90.00 120.00°
Last column: nearest neighbours and their distance in Å.
Fractional positions:
1 Mg 0.0000 0.0000 0.0000  6 Mg 2.92, 6 Ti 3.07
2 Ti 0.0000 0.0000 0.3374  12 Ti 2.78-2.92
3 Ti 0.0000 0.0000 0.6626  12 Ti 2.78-2.92
4 Ti 0.6667 0.3333 0.1816  9 Ti 2.78-2.92, 3 Mg 3.07
5 Ti 0.6667 0.3333 0.5000  12 Ti 2.85-2.92
6 Ti 0.6667 0.3333 0.8184  9 Ti 2.78-2.92, 3 Mg 3.07

Record 3
ScTl | PBEsol | optimized geometry

**Spin magnetization**: 0.0 μB/cell
**ΔE_f**: -0.29 eV/atom
**DOS(E_F)**: 3.401 states/eV/cell

Cell: 5.7918 5.7918 4.1579 Å, 90.00 90.00 137.28°
Last column: nearest neighbours and their distance in Å.
Fractional positions:
1 Sc 0.1314 0.8686 0.7500  7 Tl 2.91-3.26
2 Sc 0.8686 0.1314 0.2500  7 Tl 2.91-3.26
3 Tl 0.4014 0.5986 0.7500  7 Sc 2.91-3.26, 2 Tl 2.97
4 Tl 0.5986 0.4014 0.2500  7 Sc 2.91-3.26, 2 Tl 2.97

Record 4
Al2CuSb | PBEsol | optimized geometry

**Spin magnetization**: 0.0 μB/cell
**DOS(E_F)**: 1.995 states/eV/cell
**Energy relative to the elements, uncorrected**: 0.2354 eV/atom

Cell: 4.8638 4.8638 3.2397 Å, 90.00 90.00 111.22°
Last column: nearest neighbours and their distance in Å.
Fractional positions:
1 Al 0.0000 0.5000 0.0000  2 Al 2.75, 4 Sb 2.92, 4 Cu 2.92
2 Al 0.5000 0.0000 0.0000  2 Al 2.75, 4 Sb 2.92, 4 Cu 2.92
3 Cu 0.0000 0.0000 0.5000  2 Sb 2.75, 8 Al 2.92
4 Sb 0.5000 0.5000 0.5000  2 Cu 2.75, 8 Al 2.92

Record 5
CuGeB3 | PBEsol | optimized geometry

**Spin magnetization**: 0.0 μB/cell
**ΔE_f**: 1.58 eV/atom
**DOS(E_F)**: 3.074 states/eV/cell

Cell: 3.8942 3.8942 3.8942 Å, 90.00 90.00 90.00°
Last column: nearest neighbours and their distance in Å.
Fractional positions:
1 Cu 0.0000 0.0000 0.0000  6 B 1.95
2 Ge 0.5000 0.5000 0.5000  12 B 2.75
3 B 0.0000 0.0000 0.5000  2 Cu 1.95
4 B 0.0000 0.5000 0.0000  2 Cu 1.95
5 B 0.5000 0.0000 0.0000  2 Cu 1.95

Record 6
ZnCuSbI2 | PBEsol | optimized geometry

**Spin magnetization**: 0.0 μB/cell
**DOS(E_F)**: 4.402 states/eV/cell
**Energy relative to the elements, uncorrected**: 0.7292 eV/atom

Cell: 5.4180 5.4180 5.1405 Å, 90.00 90.00 90.00°
Last column: nearest neighbours and their distance in Å.
Fractional positions:
1 Zn 0.0000 0.0000 0.0000  2 Sb 2.57, 4 I 2.71
2 Cu 0.5000 0.5000 0.5000  8 I 3.73, 4 Sb 3.83
3 Sb 0.0000 0.0000 0.5000  2 Zn 2.57
4 I 0.0000 0.5000 0.0000  2 Zn 2.71
5 I 0.5000 0.0000 0.0000  2 Zn 2.71

It is found that the theoretical density values, taken in the order of the records, are 10.1 4.2 8.8 5.6 4.7 5.6 g/cm3.
It is found that the VASP energy values, taken in the order of the records, are -4.959 -7.149 -4.903 -4.033 -4.480 -2.072 eV per atom.
It is found that the volume values, taken in the order of the records, are 23.8 17.4 23.7 17.9 11.8 30.2 Å³ per atom.